Mn2ReAsI | PBE | optimized geometry

Calculated values
E_form (uncorrected) (eV per atom): 1.417

Unit cell a=5.013 b=5.013 c=4.940 alpha=90.00 beta=90.00 gamma=90.00
Space group P4/mmm (No. 123)
Inequivalent atoms, fractional coordinates:
1 Mn 0.000 0.500 0.000 (multiplicity 2)
2 Re 0.000 0.000 0.000 (multiplicity 1)
3 As 0.500 0.500 0.500 (multiplicity 1)
4 I 0.000 0.000 0.500 (multiplicity 1)

---

LiAc2Ga4Hg3 | PBE | optimized geometry

Calculated values
Energy of formation (kJ/mol of formula units): -390

Unit cell a=4.602 b=4.602 c=11.334 alpha=90.00 beta=90.00 gamma=90.00
Space group P-4m2 (No. 115)
Inequivalent atoms, fractional coordinates:
1 Li 0.000 0.000 0.000 (multiplicity 1)
2 Ac 0.000 0.500 0.750 (multiplicity 2)
3 Ga 0.000 0.000 0.500 (multiplicity 1)
4 Ga 0.000 0.500 0.129 (multiplicity 2)
5 Ga 0.500 0.500 0.500 (multiplicity 1)
6 Hg 0.000 0.500 0.364 (multiplicity 2)
7 Hg 0.500 0.500 0.000 (multiplicity 1)